# 1
Compound: Ta2Br4Cl
Source: Alexandria
Functional: PBE-GGA
Structure: optimized geometry

Geometry as POSCAR:
```
Ta2Br4Cl
1.0
6.080 1.694 -1.997
-1.658 6.090 -1.997
-0.539 -0.949 9.584
Ta Br Cl
4 8 2
direct
0.476 0.350 0.161 Ta
0.189 0.315 0.839 Ta
0.565 0.939 0.339 Ta
0.600 0.226 0.661 Ta
0.773 0.617 0.201 Br
0.355 0.309 0.394 Br
0.559 0.105 0.894 Br
0.211 0.664 0.106 Br
0.914 0.961 0.606 Br
0.417 0.572 0.799 Br
0.867 0.523 0.701 Br
0.822 0.167 0.299 Br
0.126 0.126 0.000 Cl
0.376 0.876 0.500 Cl
```

# 2
Compound: TaBrCl4
Source: Alexandria
Functional: PBE-GGA
Structure: optimized geometry

Geometry as POSCAR:
```
TaBrCl4
1.0
0.000 3.980 3.980
3.980 0.000 3.980
3.980 3.980 0.000
Cl Ta Br
4 1 1
direct
0.873 0.376 0.376 Cl
0.376 0.873 0.376 Cl
0.376 0.376 0.873 Cl
0.376 0.376 0.376 Cl
0.750 0.750 0.750 Ta
0.000 0.000 0.000 Br
```

| no. | uncorrected formation energy (eV/atom) |
| --- | --- |
| 1 | -0.498 |
| 2 | 0.913 |